No. 1
Compound: Cs2Te4O9
Source: Alexandria
Functional: GGA-PBE
Structure: optimized geometry

Unit cell a=10.972 b=10.972 c=20.861 alpha=90.00 beta=90.00 gamma=90.00
Space group I-42d (No. 122)
Unique sites:
Cs1 0.000 0.000 0.246 (multiplicity 8)
Cs2 0.225 0.750 0.625 (multiplicity 8)
Te1 0.107 0.636 0.821 (multiplicity 16)
Te2 0.123 0.626 0.311 (multiplicity 16)
O1 0.000 0.000 0.398 (multiplicity 8)
O2 0.010 0.203 0.484 (multiplicity 16)
O3 0.053 0.715 0.902 (multiplicity 16)
O4 0.068 0.671 0.228 (multiplicity 16)
O5 0.175 0.213 0.198 (multiplicity 16)

Calculated values
**E_form (uncorrected)**: -1261 meV/atom

No. 2
Compound: Er2In5Ni
Source: Alexandria
Functional: GGA-PBE
Structure: optimized geometry

Unit cell a=4.6838 b=4.6838 c=31.8494 alpha=90.00 beta=90.00 gamma=120.00
Space group R-3m (No. 166, hexagonal axes)
Unique sites:
Er1 0.0000 0.0000 0.0816 (multiplicity 6)
In1 0.0000 0.0000 0.2043 (multiplicity 6)
In2 0.0000 0.0000 0.3562 (multiplicity 6)
In3 0.0000 0.0000 0.5000 (multiplicity 3)
Ni1 0.0000 0.0000 0.0000 (multiplicity 3)

Calculated values
**Formation energy**: -0.168 eV per atom

Looking at uncorrected energy for the records above, in order, we have -0.3813; -0.2751 Ry per atom.